(1)
The following is a GGA-PBEsol calculation of an optimized crystal structure of SnPHO4, from the Alexandria database.

Properties
Calculated total energy = -6.6797 eV per atom
D(E_F) = 0.0 states/eV/cell
Space group = P2_1/c (14)
V = 12.84 Å³ per atom
Spin magnetization = 0.00 μB per formula unit

Cell lengths 4.624, 5.756, 13.680 Å; angles 90.00, 90.00, 99.10 degrees
Sites, in units of the cell vectors:
Sn (0.962, 0.939, 0.841)
O (0.792, 0.674, 0.216)
O (0.550, 0.764, 0.585)
Sn (0.962, 0.439, 0.659)
Sn (0.038, 0.561, 0.341)
O (0.450, 0.236, 0.415)
O (0.550, 0.264, 0.915)
O (0.450, 0.736, 0.085)
H (0.406, 0.694, 0.009)
O (0.650, 0.347, 0.089)
Sn (0.038, 0.061, 0.159)
O (0.288, 0.426, 0.216)
H (0.594, 0.306, 0.991)
O (0.792, 0.174, 0.284)
O (0.350, 0.153, 0.589)
H (0.406, 0.194, 0.491)
O (0.350, 0.653, 0.911)
O (0.712, 0.574, 0.784)
O (0.208, 0.326, 0.784)
O (0.712, 0.074, 0.716)
P (0.548, 0.540, 0.151)
H (0.594, 0.806, 0.509)
O (0.288, 0.926, 0.284)
O (0.650, 0.847, 0.411)
P (0.452, 0.960, 0.651)
O (0.208, 0.826, 0.716)
P (0.452, 0.460, 0.849)
P (0.548, 0.040, 0.349)

(2)
The following is a GGA-PBEsol calculation of an optimized crystal structure of SrP2H6O9, from the Alexandria database.

Properties
Calculated total energy = -6.2721 eV per atom
D(E_F) = 0.0 states/eV/cell
Space group = P-1 (2)
V = 10.26 Å³ per atom
Spin magnetization = 0.00 μB per formula unit

Cell lengths 6.565, 7.299, 8.537 Å; angles 102.54, 109.97, 94.91 degrees
Sites, in units of the cell vectors:
O (0.016, 0.879, 0.829)
O (0.820, 0.270, 0.492)
H (0.213, 0.851, 0.600)
O (0.636, 0.902, 0.628)
H (0.787, 0.149, 0.400)
O (0.007, 0.235, 0.862)
H (0.850, 0.540, 0.059)
Sr (0.409, 0.743, 0.311)
H (0.240, 0.541, 0.589)
P (0.844, 0.911, 0.129)
H (0.738, 0.507, 0.235)
O (0.751, 0.416, 0.036)
O (0.308, 0.113, 0.071)
O (0.180, 0.730, 0.508)
H (0.760, 0.459, 0.411)
O (0.702, 0.927, 0.233)
O (0.728, 0.593, 0.722)
O (0.249, 0.584, 0.964)
H (0.149, 0.673, 0.929)
H (0.986, 0.312, 0.549)
H (0.014, 0.688, 0.451)
H (0.150, 0.460, 0.941)
H (0.262, 0.493, 0.765)
H (0.851, 0.327, 0.071)
P (0.248, 0.196, 0.239)
Sr (0.591, 0.257, 0.689)
O (0.298, 0.073, 0.767)
O (0.364, 0.098, 0.372)
O (0.692, 0.887, 0.929)
O (0.248, 0.432, 0.644)
O (0.993, 0.765, 0.138)
P (0.156, 0.089, 0.871)
O (0.984, 0.121, 0.171)
O (0.752, 0.568, 0.356)
O (0.272, 0.407, 0.278)
P (0.752, 0.804, 0.761)

(3)
The following is a GGA-PBEsol calculation of an optimized crystal structure of SrPH3O4, from the Alexandria database.

Properties
Calculated total energy = -6.1686 eV per atom
D(E_F) = 0.0 states/eV/cell
Space group = P2_1/c (14)
V = 11.30 Å³ per atom
Spin magnetization = 0.00 μB per formula unit

Cell lengths 7.075, 7.498, 8.075 Å; angles 108.19, 90.00, 90.00 degrees
Sites, in units of the cell vectors:
Sr (0.642, 0.369, 0.655)
P (0.343, 0.270, 0.995)
H (0.886, 0.005, 0.792)
H (0.048, 0.800, 0.231)
H (0.614, 0.005, 0.292)
H (0.452, 0.800, 0.731)
O (0.002, 0.677, 0.367)
P (0.657, 0.730, 0.005)
O (0.875, 0.145, 0.846)
P (0.843, 0.730, 0.505)
H (0.257, 0.105, 0.008)
H (0.114, 0.995, 0.208)
O (0.806, 0.571, 0.957)
O (0.414, 0.223, 0.807)
H (0.757, 0.895, 0.492)
O (0.586, 0.777, 0.193)
P (0.157, 0.270, 0.495)
O (0.502, 0.323, 0.133)
H (0.386, 0.995, 0.708)
H (0.548, 0.200, 0.269)
Sr (0.358, 0.631, 0.345)
O (0.914, 0.777, 0.693)
O (0.125, 0.855, 0.154)
O (0.625, 0.145, 0.346)
H (0.743, 0.895, 0.992)
O (0.375, 0.855, 0.654)
O (0.694, 0.571, 0.457)
O (0.998, 0.323, 0.633)
Sr (0.858, 0.369, 0.155)
O (0.086, 0.223, 0.307)
O (0.194, 0.429, 0.043)
H (0.243, 0.105, 0.508)
Sr (0.142, 0.631, 0.845)
H (0.952, 0.200, 0.769)
O (0.498, 0.677, 0.867)
O (0.306, 0.429, 0.543)

(4)
The following is a GGA-PBEsol calculation of an optimized crystal structure of SrP2H4O4, from the Alexandria database.

Properties
Calculated total energy = -5.8232 eV per atom
D(E_F) = 0.0 states/eV/cell
Space group = C2/c (15)
V = 12.10 Å³ per atom
Spin magnetization = 0.00 μB per formula unit

Cell lengths 5.880, 5.893, 8.246 Å; angles 110.94, 93.73, 90.00 degrees
Sites, in units of the cell vectors:
O (0.423, 0.495, 0.178)
Sr (0.250, 0.749, 0.000)
O (0.890, 0.818, 0.825)
H (0.420, 0.310, 0.394)
O (0.077, 0.317, 0.822)
H (0.653, 0.820, 0.398)
O (0.390, 0.007, 0.825)
P (0.276, 0.389, 0.280)
O (0.110, 0.182, 0.175)
O (0.577, 0.505, 0.822)
H (0.580, 0.690, 0.606)
H (0.847, 0.422, 0.602)
P (0.776, 0.891, 0.280)
H (0.347, 0.180, 0.602)
P (0.724, 0.611, 0.720)
Sr (0.750, 0.251, 0.000)
O (0.923, 0.683, 0.178)
O (0.610, 0.993, 0.175)
H (0.080, 0.916, 0.606)
P (0.224, 0.109, 0.720)
H (0.920, 0.084, 0.394)
H (0.153, 0.578, 0.398)

(5)
The following is a GGA-PBEsol calculation of an optimized crystal structure of SrP2H4O6, from the Alexandria database.

Properties
Calculated total energy = -6.2620 eV per atom
D(E_F) = 0.0 states/eV/cell
Space group = P-1 (2)
V = 11.59 Å³ per atom
Spin magnetization = 0.00 μB per formula unit

Cell lengths 5.768, 7.136, 8.107 Å; angles 98.19, 104.14, 106.91 degrees
Sites, in units of the cell vectors:
H (0.773, 0.527, 0.438)
H (0.171, 0.889, 0.574)
P (0.951, 0.237, 0.331)
O (0.577, 0.066, 0.840)
H (0.420, 0.786, 0.408)
H (0.580, 0.214, 0.592)
H (0.829, 0.111, 0.426)
O (0.025, 0.687, 0.183)
O (0.599, 0.425, 0.856)
O (0.975, 0.313, 0.817)
Sr (0.666, 0.786, 0.964)
O (0.401, 0.575, 0.144)
O (0.207, 0.626, 0.718)
O (0.011, 0.887, 0.821)
P (0.049, 0.763, 0.669)
O (0.222, 0.368, 0.460)
H (0.064, 0.444, 0.784)
O (0.423, 0.934, 0.160)
P (0.675, 0.255, 0.777)
H (0.936, 0.556, 0.216)
O (0.793, 0.374, 0.282)
H (0.227, 0.473, 0.562)
Sr (0.334, 0.214, 0.036)
O (0.778, 0.632, 0.540)
P (0.325, 0.745, 0.223)
O (0.989, 0.113, 0.179)

(6)
The following is a GGA-PBEsol calculation of an optimized crystal structure of TiPHO5, from the Alexandria database.

Properties
Calculated total energy = -7.7931 eV per atom
D(E_F) = 0.0 states/eV/cell
Relative energy among the computed polymorphs = 1.58 kJ/mol of atoms
Space group = P-1 (2)
V = 11.02 Å³ per atom
Spin magnetization = 0.00 μB per formula unit

Cell lengths 5.235, 5.210, 7.395 Å; angles 109.12, 105.67, 99.44 degrees
Sites, in units of the cell vectors:
Ti (0.000, 0.000, 0.000)
O (0.730, 0.827, 0.088)
O (0.333, 0.773, 0.644)
P (0.564, 0.899, 0.231)
O (0.858, 0.679, 0.728)
O (0.667, 0.227, 0.356)
O (0.745, 0.186, 0.892)
Ti (0.500, 0.500, 0.500)
O (0.142, 0.321, 0.272)
H (0.979, 0.335, 0.318)
O (0.619, 0.747, 0.377)
O (0.255, 0.814, 0.108)
H (0.021, 0.665, 0.682)
P (0.436, 0.101, 0.769)
O (0.270, 0.173, 0.912)
O (0.381, 0.253, 0.623)